Record 1
Material: Sm6ZnTc2
Method: DFT, PBE-GGA
State: optimized geometry

The calculation puts the energy of formation from the pure elements at -0.05 eV per atom.

a = 9.7350 Å, b = 9.7549 Å, c = 10.3678 Å
α = 90.00°, β = 90.00°, γ = 90.00°
Last column: nearest neighbours and their distance in Å.
Space group Immm (No. 71)
One atom of each set of equivalent atoms:
Sm 0.0000 0.2067 0.2290 x8  1 Tc 2.88, 1 Zn 3.11
Sm 0.2096 0.5000 0.1838 x8  3 Tc 2.92-3.05
Sm 0.2186 0.3126 0.5000 x8  3 Tc 3.05-3.29, 1 Zn 3.29
Zn 0.0000 0.0000 0.0000 x2  8 Sm 3.11-3.29
Zn 0.0000 0.0000 0.5000 x2  12 Sm 3.41-3.72
Tc 0.0000 0.3746 0.0000 x4  1 Tc 2.45
Tc 0.0000 0.5000 0.3856 x4  1 Tc 2.37

Record 2
Material: SrSbWI2
Method: DFT, PBE-GGA
State: optimized geometry

The energy relative to the elements, uncorrected comes out at 1089.3 meV/atom. As for the excess energy over the best structure of this formula in the dataset: 4.71 eV per formula unit.

a = 6.1466 Å, b = 6.1466 Å, c = 6.7198 Å
α = 90.00°, β = 90.00°, γ = 90.00°
Last column: nearest neighbours and their distance in Å.
Space group P4/mmm (No. 123)
One atom of each set of equivalent atoms:
Sr 0.0000 0.0000 0.0000 x1  4 I 3.07, 2 Sb 3.36
Sb 0.0000 0.0000 0.5000 x1  2 Sr 3.36
W 0.5000 0.5000 0.5000 x1  4 Sb 4.35, 8 I 4.55
I 0.0000 0.5000 0.0000 x2  2 Sr 3.07

Record 3
Material: SrYAs3
Method: DFT, PBE-GGA
State: optimized geometry

The calculation puts the energy of formation from the pure elements at -0.41 eV per atom. As for the excess energy over the best structure of this formula in the dataset: 0.00 eV per formula unit.

a = 5.4065 Å, b = 5.4065 Å, c = 5.4065 Å
α = 90.00°, β = 90.00°, γ = 90.00°
Last column: nearest neighbours and their distance in Å.
Space group Pm-3m (No. 221)
One atom of each set of equivalent atoms:
Sr 0.0000 0.0000 0.0000 x1  12 As 3.82
Y 0.5000 0.5000 0.5000 x1  6 As 2.70
As 0.0000 0.5000 0.5000 x3  2 Y 2.70

Record 4
Material: YMoS2Cl
Method: DFT, PBE-GGA
State: optimized geometry

The energy relative to the elements, uncorrected comes out at -171.4 meV/atom. As for the excess energy over the best structure of this formula in the dataset: 1.84 eV per formula unit.

a = 5.2635 Å, b = 5.2635 Å, c = 5.0671 Å
α = 90.00°, β = 90.00°, γ = 90.00°
Last column: nearest neighbours and their distance in Å.
Space group P4/mmm (No. 123)
One atom of each set of equivalent atoms:
Y 0.0000 0.0000 0.0000 x1  2 Cl 2.53, 4 S 2.63
Mo 0.5000 0.5000 0.5000 x1  8 S 3.65, 4 Cl 3.72
S 0.0000 0.5000 0.0000 x2  2 Y 2.63
Cl 0.0000 0.0000 0.5000 x1  2 Y 2.53

Record 5
Material: AcPu3Al8
Method: DFT, PBE-GGA
State: optimized geometry

The calculation puts the energy of formation from the pure elements at -0.30 eV per atom. As for the excess energy over the best structure of this formula in the dataset: 0.35 eV per formula unit.

a = 5.6691 Å, b = 5.6691 Å, c = 9.0207 Å
α = 90.00°, β = 90.00°, γ = 120.00°
Last column: nearest neighbours and their distance in Å.
Space group P3m1 (No. 156)
One atom of each set of equivalent atoms:
Ac 0.0000 0.0000 0.0000 x1  4 Pu 3.28-3.56, 12 Al 3.31-3.36
Pu 0.0000 0.0000 0.3635 x1  12 Al 3.20-3.33, 1 Ac 3.28, 3 Pu 3.51
Pu 0.6667 0.3333 0.5041 x1  1 Pu 3.07, 12 Al 3.21-3.34
Pu 0.6667 0.3333 0.8447 x1  1 Pu 3.07, 9 Al 3.24-3.35
Al 0.1621 0.3242 0.6715 x3  6 Al 2.75-2.91
Al 0.3333 0.6667 0.4297 x1  6 Al 2.75-2.76
Al 0.3333 0.6667 0.9247 x1  6 Al 2.84-2.93
Al 0.5062 0.0123 0.1889 x3  6 Al 2.73-2.94

Record 6
Material: CeTh2Co2
Method: DFT, PBE-GGA
State: optimized geometry

The calculation puts the energy of formation from the pure elements at -0.20 eV per atom. As for the excess energy over the best structure of this formula in the dataset: 0.31 eV per formula unit.

a = 7.1793 Å, b = 7.1793 Å, c = 4.2150 Å
α = 90.00°, β = 90.00°, γ = 90.00°
Last column: nearest neighbours and their distance in Å.
Space group P4/mbm (No. 127)
One atom of each set of equivalent atoms:
Ce 0.0000 0.0000 0.0000 x2  4 Co 2.76
Th 0.1593 0.3407 0.5000 x4  6 Co 2.92-3.02, 1 Th 3.23
Co 0.1421 0.6421 0.0000 x4  2 Ce 2.76, 1 Co 2.88, 6 Th 2.92-3.02

Copy entry 3 word for word.
Material: SrYAs3
Method: DFT, PBE-GGA
State: optimized geometry

The calculation puts the energy of formation from the pure elements at -0.41 eV per atom. As for the excess energy over the best structure of this formula in the dataset: 0.00 eV per formula unit.

a = 5.4065 Å, b = 5.4065 Å, c = 5.4065 Å
α = 90.00°, β = 90.00°, γ = 90.00°
Last column: nearest neighbours and their distance in Å.
Space group Pm-3m (No. 221)
One atom of each set of equivalent atoms:
Sr 0.0000 0.0000 0.0000 x1  12 As 3.82
Y 0.5000 0.5000 0.5000 x1  6 As 2.70
As 0.0000 0.5000 0.5000 x3  2 Y 2.70